1.
DFT (PBE) results for crystalline DyPb7 at its relaxed geometry.

POSCAR file:
```
DyPb7
1.0
0.000 4.957 4.957
4.957 0.000 4.957
4.957 4.957 0.000
Dy Pb
1 7
direct
0.000 0.000 0.000
0.000 0.000 0.500
0.000 0.500 0.000
0.000 0.500 0.500
0.500 0.000 0.000
0.500 0.000 0.500
0.500 0.500 0.000
0.500 0.500 0.500
```

2.
DFT (PBE) results for crystalline DyPb5 at its relaxed geometry.

POSCAR file:
```
DyPb5
1.0
2.415 -7.957 0.000
2.415 7.957 0.000
0.000 0.000 4.689
Dy Pb
1 5
direct
0.000 0.000 0.000
0.168 0.832 0.500
0.343 0.657 0.000
0.500 0.500 0.500
0.657 0.343 0.000
0.832 0.168 0.500
```

Values from the calculation:
energy relative to the lowest polymorph listed for this composition: 0.0 meV/atom

3.
DFT (PBE) results for crystalline Dy2Pb3 at its relaxed geometry.

POSCAR file:
```
Dy2Pb3
1.0
12.223 0.000 0.000
0.000 4.386 0.000
0.000 0.000 11.139
Dy Pb
8 12
direct
0.011 0.250 0.241
0.225 0.250 0.582
0.275 0.750 0.082
0.489 0.750 0.741
0.511 0.250 0.259
0.725 0.250 0.918
0.775 0.750 0.418
0.989 0.750 0.759
0.078 0.750 0.439
0.097 0.250 0.945
0.240 0.750 0.794
0.260 0.250 0.294
0.403 0.750 0.445
0.422 0.250 0.939
0.578 0.750 0.061
0.597 0.250 0.555
0.740 0.750 0.706
0.760 0.250 0.206
0.903 0.750 0.055
0.922 0.250 0.561
```

Values from the calculation:
energy relative to the lowest polymorph listed for this composition: 60.0 meV/atom

4.
DFT (PBE) results for crystalline Dy2Pd3Pb at its relaxed geometry.

POSCAR file:
```
Dy2Pd3Pb
1.0
6.414 -3.888 0.000
6.414 3.888 0.000
0.000 0.000 5.631
Dy Pd Pb
4 6 2
direct
0.014 0.660 0.750
0.340 0.986 0.750
0.660 0.014 0.250
0.986 0.340 0.250
0.000 0.000 0.000
0.000 0.000 0.500
0.329 0.329 0.000
0.329 0.329 0.500
0.671 0.671 0.000
0.671 0.671 0.500
0.323 0.677 0.250
0.677 0.323 0.750
```

5.
DFT (PBE) results for crystalline DyPd6Pb at its relaxed geometry.

POSCAR file:
```
DyPd6Pb
1.0
3.715 2.145 3.445
-3.715 2.145 3.445
0.000 -4.289 3.445
Dy Pd Pb
1 6 1
direct
0.000 0.000 0.000
0.161 0.161 0.533
0.161 0.533 0.161
0.467 0.839 0.839
0.533 0.161 0.161
0.839 0.467 0.839
0.839 0.839 0.467
0.500 0.500 0.500
```

Values from the calculation:
energy relative to the lowest polymorph listed for this composition: 451.7 meV/atom

6.
DFT (PBE) results for crystalline Dy2Pd2Pb at its relaxed geometry.

POSCAR file:
```
Dy2Pd2Pb
1.0
7.873 0.000 0.000
0.000 7.873 0.000
0.000 0.000 3.663
Dy Pd Pb
4 4 2
direct
0.171 0.329 0.000
0.329 0.829 0.000
0.671 0.171 0.000
0.829 0.671 0.000
0.125 0.625 0.500
0.375 0.125 0.500
0.625 0.875 0.500
0.875 0.375 0.500
0.000 0.000 0.500
0.500 0.500 0.500
```

Calculated total magnetic moment in order - 0.00; 0.00; 0.00; 0.00; 0.00; 0.00 μB per cell
Calculated E in order - -3.92; -4.00; -4.39; -5.40; -5.06; -5.51 eV per atom